1.
{
  "formula": "MgNiRhCl2",
  "functional": "PBE",
  "state": "optimized geometry",
  "e_form_raw_ev_per_atom": 0.23,
  "magnetic_moment_mub_per_atom": 0.16,
  "space_group": "No. 123",
  "e_above_lowest_polymorph_mev_per_atom": 0.0,
  "cell": [[-2.214, 1.496, 3.951], [-1.525, -4.396, 0.810], [3.934, -0.895, 2.544]],
  "species": ["Ni", "Mg", "Rh", "Cl", "Cl"],
  "fractional_positions": [[0.000, 0.500, 0.000], [0.500, 0.500, 0.500], [0.000, 0.000, 0.000], [0.000, 0.000, 0.500], [0.500, 0.000, 0.000]]
}

***

2.
{
  "formula": "CsScCl2F",
  "functional": "PBE",
  "state": "optimized geometry",
  "e_form_raw_ev_per_atom": -2.30,
  "magnetic_moment_mub_per_atom": 0.20,
  "space_group": "No. 123",
  "cell": [[5.427, 0.000, 0.000], [0.000, 5.427, 0.000], [0.000, 0.000, 4.266]],
  "species": ["Cs", "Sc", "F", "Cl", "Cl"],
  "fractional_positions": [[0.500, 0.500, 0.500], [0.000, 0.000, 0.000], [0.000, 0.000, 0.500], [0.000, 0.500, 0.000], [0.500, 0.000, 0.000]]
}

***

3.
{
  "formula": "Ba8Ir2Br",
  "functional": "PBE",
  "state": "optimized geometry",
  "e_form_raw_ev_per_atom": -0.19,
  "magnetic_moment_mub_per_atom": 0.02,
  "space_group": "No. 2",
  "cell": [[6.561, 0.000, 0.000], [-0.001, 8.932, -5.160], [0.000, 0.000, 10.325]],
  "species": ["Ba", "Ba", "Ba", "Ba", "Ba", "Ba", "Ba", "Ba", "Ir", "Ir", "Br"],
  "fractional_positions": [[0.254, 0.667, 0.333], [0.746, 0.333, 0.667], [0.748, 0.826, 0.170], [0.251, 0.171, 0.344], [0.252, 0.656, 0.826], [0.251, 0.174, 0.830], [0.749, 0.829, 0.656], [0.748, 0.344, 0.174], [0.221, 0.333, 0.667], [0.779, 0.667, 0.333], [0.000, 0.000, 0.000]]
}